1.
A plane-wave DFT calculation with PBE-GGA was carried out for a relaxed La2TiZn crystal.

a = 4.3764 Å, b = 4.3764 Å, c = 11.2019 Å
α = 78.74°, β = 78.74°, γ = 90.00°
Last column: nearest neighbours and their distance in Å.
Element x y z (fractional)
Zn 0.0000 0.0000 0.0000  4 Ti 3.09, 4 La 3.13
Zn 0.7500 0.2500 0.5000  4 Ti 3.09, 4 La 3.13
Ti 0.5000 0.5000 0.0000  4 La 3.08, 4 Zn 3.09
Ti 0.2500 0.7500 0.5000  4 La 3.08, 4 Zn 3.09
La 0.6092 0.1250 0.2500  4 La 3.00-3.19, 2 Ti 3.08, 2 Zn 3.13
La 0.1408 0.6250 0.2500  4 La 3.00-3.19, 2 Ti 3.08, 2 Zn 3.13
La 0.3750 0.3908 0.7500  4 La 3.00-3.19, 2 Ti 3.08, 2 Zn 3.13
La 0.8750 0.8592 0.7500  4 La 3.00-3.19, 2 Ti 3.08, 2 Zn 3.13

---

2.
A plane-wave DFT calculation with PBE-GGA was carried out for a relaxed LaZr2Ti crystal.

a = 5.1315 Å, b = 5.1315 Å, c = 5.1315 Å
α = 60.00°, β = 60.00°, γ = 60.00°
Last column: nearest neighbours and their distance in Å.
Element x y z (fractional)
Ti 0.0000 0.0000 0.0000  8 Zr 3.14
Zr 0.2500 0.2500 0.2500  4 La 3.14, 4 Ti 3.14
Zr 0.7500 0.7500 0.7500  4 La 3.14, 4 Ti 3.14
La 0.5000 0.5000 0.5000  8 Zr 3.14

---

3.
A plane-wave DFT calculation with PBE-GGA was carried out for a relaxed LaZr3Ti crystal.

a = 5.1369 Å, b = 5.1369 Å, c = 5.1369 Å
α = 90.00°, β = 90.00°, γ = 90.00°
Last column: nearest neighbours and their distance in Å.
Element x y z (fractional)
Ti 0.0000 0.0000 0.0000  6 Zr 2.57
Zr 0.0000 0.5000 0.0000  2 Ti 2.57
Zr 0.0000 0.0000 0.5000  2 Ti 2.57
Zr 0.5000 0.0000 0.0000  2 Ti 2.57
La 0.5000 0.5000 0.5000  12 Zr 3.63

---

4.
A plane-wave DFT calculation with PBE-GGA was carried out for a relaxed LaZr2Ti crystal.

a = 4.3752 Å, b = 4.3752 Å, c = 10.9335 Å
α = 78.46°, β = 78.46°, γ = 90.00°
Last column: nearest neighbours and their distance in Å.
Element x y z (fractional)
Ti 0.5000 0.5000 0.0000  4 Zr 3.03, 4 La 3.09
Ti 0.2500 0.7500 0.5000  4 Zr 3.03, 4 La 3.09
Zr 0.6135 0.1250 0.2500  4 Zr 3.02-3.17, 2 Ti 3.03, 2 La 3.06
Zr 0.1365 0.6250 0.2500  4 Zr 3.02-3.17, 2 Ti 3.03, 2 La 3.06
Zr 0.3750 0.3865 0.7500  4 Zr 3.02-3.17, 2 Ti 3.03, 2 La 3.06
Zr 0.8750 0.8635 0.7500  4 Zr 3.02-3.17, 2 Ti 3.03, 2 La 3.06
La 0.0000 0.0000 0.0000  4 Zr 3.06, 4 Ti 3.09
La 0.7500 0.2500 0.5000  4 Zr 3.06, 4 Ti 3.09

---

5.
A plane-wave DFT calculation with PBE-GGA was carried out for a relaxed LaZrTi3 crystal.

a = 5.0016 Å, b = 5.0016 Å, c = 5.0016 Å
α = 90.00°, β = 90.00°, γ = 90.00°
Last column: nearest neighbours and their distance in Å.
Element x y z (fractional)
Ti 0.0000 0.5000 0.0000  2 Zr 2.50
Ti 0.0000 0.0000 0.5000  2 Zr 2.50
Ti 0.5000 0.0000 0.0000  2 Zr 2.50
Zr 0.0000 0.0000 0.0000  6 Ti 2.50
La 0.5000 0.5000 0.5000  12 Ti 3.54

---

6.
A plane-wave DFT calculation with PBE-GGA was carried out for a relaxed LaZr3Ti crystal.

a = 5.1046 Å, b = 5.1046 Å, c = 5.1046 Å
α = 90.00°, β = 90.00°, γ = 90.00°
Last column: nearest neighbours and their distance in Å.
Element x y z (fractional)
Ti 0.5000 0.5000 0.5000  12 Zr 3.61
Zr 0.0000 0.5000 0.0000  2 La 2.55
Zr 0.0000 0.0000 0.5000  2 La 2.55
Zr 0.5000 0.0000 0.0000  2 La 2.55
La 0.0000 0.0000 0.0000  6 Zr 2.55

---

7.
A plane-wave DFT calculation with PBE-GGA was carried out for a relaxed LaZrTi crystal.

a = 3.5208 Å, b = 3.5232 Å, c = 13.9483 Å
α = 90.00°, β = 120.34°, γ = 90.00°
Last column: nearest neighbours and their distance in Å.
Element x y z (fractional)
La 0.0226 0.2501 0.3866  4 Zr 3.42-3.43, 8 La 3.52-3.70
La 0.9774 0.7499 0.6134  4 Zr 3.42-3.43, 8 La 3.52-3.70
Zr 0.1328 0.7501 0.1910  5 Ti 2.89-3.02
Zr 0.8672 0.2499 0.8090  5 Ti 2.89-3.02
Ti 0.6522 0.7500 0.9512  4 Ti 2.75, 5 Zr 2.89-3.02
Ti 0.3478 0.2500 0.0488  4 Ti 2.75, 5 Zr 2.89-3.02

---

8.
A plane-wave DFT calculation with PBE-GGA was carried out for a relaxed LaZr2Ti crystal.

a = 3.1638 Å, b = 3.1638 Å, c = 11.2651 Å
α = 81.93°, β = 81.93°, γ = 60.00°
Last column: nearest neighbours and their distance in Å.
Element x y z (fractional)
Ti 0.5000 0.5000 0.5000  6 Zr 2.99, 6 Ti 3.16
Zr 0.0955 0.0955 0.7134  3 Ti 2.99, 6 Zr 3.16, 1 La 3.19
Zr 0.9045 0.9045 0.2866  3 Ti 2.99, 6 Zr 3.16, 1 La 3.19
La 0.0000 0.0000 0.0000  6 La 3.16, 2 Zr 3.19

---

no.,volume (Å³/cell),energy relative to the elements (eV/atom)
1,206,0.52
2,96,0.32
3,136,0.55
4,201,0.56
5,125,0.76
6,133,1.36
7,149,0.09
8,96,0.23